The following is a PBE calculation of an optimized crystal structure of GdNpIr, from Alexandria.

The space group is P3m1 (No. 156) and the conventional cell measures 4.8432, 4.8432 and 3.0831 Å, with angles of 90.00, 90.00 and 120.00 degrees. The distinct sites, in fractional coordinates, are Gd at (0.0000, 0.0000, 0.0000), Np at (0.3333, 0.6667, 0.3528) and Ir at (0.6667, 0.3333, 0.6412).

The value obtained for the mass density is 15.549 g/cm3. The calculation puts the final energy at -12.01 eV/atom. As for the formation energy: -0.0461 eV/atom.

The following is a PBE calculation of an optimized crystal structure of GdNpIr2, from Alexandria.

The space group is P4/mmm (No. 123) and the conventional cell measures 4.974, 4.974 and 3.292 Å, with angles of 90.00, 90.00 and 90.00 degrees. The distinct sites, in fractional coordinates, are Gd at (0.000, 0.000, 0.000), Np at (0.500, 0.500, 0.000) and Ir at (0.000, 0.500, 0.500).

The value obtained for the mass density is 15.876 g/cm3. The calculation puts the final energy at -11.64 eV/atom. As for the formation energy: -0.4571 eV/atom. The energy relative to the lowest polymorph listed for this composition is 23.9 meV per atom.

The following is a PBE calculation of an optimized crystal structure of GdNpIr2, from Alexandria.

The space group is Fm-3m (No. 225) and the conventional cell measures 6.873, 6.873 and 6.873 Å, with angles of 90.00, 90.00 and 90.00 degrees. The distinct sites, in fractional coordinates, are Gd at (0.000, 0.000, 0.000), Np at (0.000, 0.000, 0.500) and Ir at (0.250, 0.250, 0.250).

The value obtained for the mass density is 15.930 g/cm3. The calculation puts the final energy at -11.65 eV/atom. As for the formation energy: -0.4646 eV/atom. The energy relative to the lowest polymorph listed for this composition is 16.3 meV per atom.

The following is a PBE calculation of an optimized crystal structure of GdNpIr2, from Alexandria.

The space group is R-3m (No. 166, hexagonal axes) and the conventional cell measures 4.5328, 4.5328 and 14.4948 Å, with angles of 90.00, 90.00 and 120.00 degrees. The distinct sites, in fractional coordinates, are Gd at (0.0000, 0.0000, 0.0000), Np at (0.0000, 0.0000, 0.5000) and Ir at (0.0000, 0.0000, 0.2204).

The value obtained for the mass density is 15.040 g/cm3. The calculation puts the final energy at -11.67 eV/atom. As for the formation energy: -0.4810 eV/atom. The energy relative to the lowest polymorph listed for this composition is 0.0 meV per atom.

The following is a PBE calculation of an optimized crystal structure of GdNpIrOs, from Alexandria.

The space group is F-43m (No. 216) and the conventional cell measures 6.845, 6.845 and 6.845 Å, with angles of 90.00, 90.00 and 90.00 degrees. The distinct sites, in fractional coordinates, are Gd at (0.000, 0.000, 0.000), Np at (0.000, 0.000, 0.500), Ir at (0.250, 0.250, 0.750) and Os at (0.250, 0.250, 0.250).

The value obtained for the mass density is 16.083 g/cm3. The calculation puts the final energy at -11.94 eV/atom. As for the formation energy: -0.1658 eV/atom.

The following is a PBE calculation of an optimized crystal structure of GdNpIrRu, from Alexandria.

The space group is F-43m (No. 216) and the conventional cell measures 6.832, 6.832 and 6.832 Å, with angles of 90.00, 90.00 and 90.00 degrees. The distinct sites, in fractional coordinates, are Gd at (0.000, 0.000, 0.000), Np at (0.000, 0.000, 0.500), Ir at (0.250, 0.250, 0.250) and Ru at (0.250, 0.250, 0.750).

The value obtained for the mass density is 14.319 g/cm3. The calculation puts the final energy at -11.59 eV/atom. As for the formation energy: -0.2991 eV/atom.

The following is a PBE calculation of an optimized crystal structure of GdPaIrOs, from Alexandria.

The space group is F-43m (No. 216) and the conventional cell measures 6.909, 6.909 and 6.909 Å, with angles of 90.00, 90.00 and 90.00 degrees. The distinct sites, in fractional coordinates, are Gd at (0.000, 0.000, 0.000), Pa at (0.000, 0.000, 0.500), Ir at (0.250, 0.250, 0.750) and Os at (0.250, 0.250, 0.250).

The value obtained for the mass density is 15.523 g/cm3. The calculation puts the final energy at -11.33 eV/atom. As for the formation energy: -0.4085 eV/atom.

The following is a PBE calculation of an optimized crystal structure of GdPuIrOs, from Alexandria.

The space group is F-43m (No. 216) and the conventional cell measures 6.850, 6.850 and 6.850 Å, with angles of 90.00, 90.00 and 90.00 degrees. The distinct sites, in fractional coordinates, are Gd at (0.000, 0.000, 0.000), Pu at (0.000, 0.000, 0.500), Ir at (0.250, 0.250, 0.250) and Os at (0.250, 0.250, 0.750).

The value obtained for the mass density is 16.192 g/cm3. The calculation puts the final energy at -12.37 eV/atom. As for the formation energy: -0.2457 eV/atom.

The following is a PBE calculation of an optimized crystal structure of SmGdIrOs, from Alexandria.

The space group is F-43m (No. 216) and the conventional cell measures 6.939, 6.939 and 6.939 Å, with angles of 90.00, 90.00 and 90.00 degrees. The distinct sites, in fractional coordinates, are Sm at (0.000, 0.000, 0.000), Gd at (0.000, 0.000, 0.500), Ir at (0.250, 0.250, 0.250) and Os at (0.250, 0.250, 0.750).

The value obtained for the mass density is 13.717 g/cm3. The calculation puts the final energy at -10.02 eV/atom. As for the formation energy: -0.2934 eV/atom.

The following is a PBE calculation of an optimized crystal structure of GdThIrOs, from Alexandria.

The space group is F-43m (No. 216) and the conventional cell measures 7.034, 7.034 and 7.034 Å, with angles of 90.00, 90.00 and 90.00 degrees. The distinct sites, in fractional coordinates, are Gd at (0.000, 0.000, 0.000), Th at (0.000, 0.000, 0.500), Ir at (0.250, 0.250, 0.750) and Os at (0.250, 0.250, 0.250).

The value obtained for the mass density is 14.731 g/cm3. The calculation puts the final energy at -10.83 eV/atom. As for the formation energy: -0.4356 eV/atom.

The following is a PBE calculation of an optimized crystal structure of GdUIrOs, from Alexandria.

The space group is F-43m (No. 216) and the conventional cell measures 6.858, 6.858 and 6.858 Å, with angles of 90.00, 90.00 and 90.00 degrees. The distinct sites, in fractional coordinates, are Gd at (0.000, 0.000, 0.000), U at (0.000, 0.000, 0.500), Ir at (0.250, 0.250, 0.750) and Os at (0.250, 0.250, 0.250).

The value obtained for the mass density is 16.012 g/cm3. The calculation puts the final energy at -11.60 eV/atom. As for the formation energy: -0.2348 eV/atom.

The following is a PBE calculation of an optimized crystal structure of GdZrIrOs, from Alexandria.

The space group is F-43m (No. 216) and the conventional cell measures 6.738, 6.738 and 6.738 Å, with angles of 90.00, 90.00 and 90.00 degrees. The distinct sites, in fractional coordinates, are Gd at (0.000, 0.000, 0.000), Zr at (0.000, 0.000, 0.500), Ir at (0.250, 0.250, 0.250) and Os at (0.250, 0.250, 0.750).

The value obtained for the mass density is 13.697 g/cm3. The calculation puts the final energy at -11.16 eV/atom. As for the formation energy: -0.4751 eV/atom.

The following is a PBE calculation of an optimized crystal structure of GdPIr, from Alexandria.

The space group is P-6m2 (No. 187) and the conventional cell measures 4.0587, 4.0587 and 4.0849 Å, with angles of 90.00, 90.00 and 120.00 degrees. The distinct sites, in fractional coordinates, are Gd at (0.0000, 0.0000, 0.0000), P at (0.3333, 0.6667, 0.5000) and Ir at (0.6667, 0.3333, 0.5000).

The value obtained for the mass density is 10.841 g/cm3. The calculation puts the final energy at -10.58 eV/atom. As for the formation energy: -1.1337 eV/atom.

The following is a PBE calculation of an optimized crystal structure of GdPa2Ir, from Alexandria.

The space group is R-3m (No. 166, hexagonal axes) and the conventional cell measures 3.5584, 3.5584 and 29.9711 Å, with angles of 90.00, 90.00 and 120.00 degrees. The distinct sites, in fractional coordinates, are Gd at (0.0000, 0.0000, 0.0000), Pa at (0.0000, 0.0000, 0.1040) and Ir at (0.0000, 0.0000, 0.5000).

The value obtained for the mass density is 12.301 g/cm3. The calculation puts the final energy at -10.43 eV/atom. As for the formation energy: 0.0558 eV/atom.

The following is a PBE calculation of an optimized crystal structure of GdPaIr2, from Alexandria.

The space group is R-3m (No. 166, hexagonal axes) and the conventional cell measures 4.5884, 4.5884 and 14.6367 Å, with angles of 90.00, 90.00 and 120.00 degrees. The distinct sites, in fractional coordinates, are Gd at (0.0000, 0.0000, 0.0000), Pa at (0.0000, 0.0000, 0.5000) and Ir at (0.0000, 0.0000, 0.2204).

The value obtained for the mass density is 14.424 g/cm3. The calculation puts the final energy at -11.09 eV/atom. As for the formation energy: -0.7694 eV/atom. The energy relative to the lowest polymorph listed for this composition is 0.0 meV per atom.